[1]
A plane-wave DFT calculation with GGA-PBE was carried out for a geometry-optimized AgOs2Se structure.

a b c (Å): 2.858 2.834 8.647
angles (deg): 80.62 90.00 90.00
Sites, in units of the cell vectors:
Ag  0.500  0.672  0.778
Os  0.000  0.048  0.029
Os  0.500  0.454  0.218
Se  0.000  0.327  0.475

Results
- size of the total moment (μB per cell) = 0.00
- SG = Pm (6)
- Fermi-level density of states (states/eV per atom) = 0.841
- uncorrected formation energy (eV/atom) = 0.39

[2]
A plane-wave DFT calculation with GGA-PBE was carried out for a geometry-optimized AgOsSe structure.

a b c (Å): 6.525 6.525 6.525
angles (deg): 153.34 153.34 38.06
Sites, in units of the cell vectors:
Ag  0.978  0.978  0.000
Os  0.315  0.315  0.000
Se  0.707  0.707  0.000

Results
- size of the total moment (μB per cell) = 0.00
- SG = I4mm (107)
- E above lowest polymorph (eV per atom) = 0.0000
- Fermi-level density of states (states/eV per atom) = 0.445
- uncorrected formation energy (eV/atom) = 0.40